# FeCoTc2

Crystalline FeCoTc2 at its relaxed geometry (GGA-PBEsol, the Alexandria database).

The structure in extended XYZ format:
```
4
Lattice="2.5661 0.0000 0.0000 0.0000 3.9460 0.0000 -1.2910 0.0000 4.7111" Properties=species:S:1:pos:R:3 pbc="T T T"
Fe 0.0000 0.0000 0.0000
Co 1.2741 1.9730 3.4627
Tc -0.0088 0.0000 2.5358
Tc 1.2816 1.9730 0.9320
```

## Properties
polymorph energy (0 for the lowest one): 0.0 meV/atom
calculated formation energy: 0.01 eV/atom

***

# FeCoTc2

Crystalline FeCoTc2 at its relaxed geometry (GGA-PBEsol, the Alexandria database).

The structure in extended XYZ format:
```
4
Lattice="0.0000 2.9307 2.9307 2.9307 0.0000 2.9307 2.9307 2.9307 0.0000" Properties=species:S:1:pos:R:3 pbc="T T T"
Fe 0.0000 0.0000 0.0000
Co 1.4653 1.4653 1.4653
Tc 2.9307 2.9307 2.9307
Tc 4.3960 4.3960 4.3960
```

## Properties
polymorph energy (0 for the lowest one): 230.5 meV/atom
calculated formation energy: 0.24 eV/atom

***

# Fe2CoTc

Crystalline Fe2CoTc at its relaxed geometry (GGA-PBEsol, the Alexandria database).

The structure in extended XYZ format:
```
4
Lattice="2.5099 0.0000 0.0000 0.0000 2.5099 0.0000 0.0000 0.0000 7.0521" Properties=species:S:1:pos:R:3 pbc="T T T"
Fe 0.0000 0.0000 0.0000
Fe 1.2550 1.2550 1.6566
Co 1.2550 1.2550 5.3677
Tc 0.0000 0.0000 3.5349
```

## Properties
polymorph energy (0 for the lowest one): 23.7 meV/atom
calculated formation energy: 0.08 eV/atom

***

# TiFe2CoTc

Crystalline TiFe2CoTc at its relaxed geometry (GGA-PBEsol, the Alexandria database).

The structure in extended XYZ format:
```
5
Lattice="4.2891 0.0000 0.0000 0.0000 4.2891 0.0000 0.0000 0.0000 4.5195" Properties=species:S:1:pos:R:3 pbc="T T T"
Ti 0.0000 0.0000 0.0000
Fe 0.0000 2.1446 2.2597
Fe 2.1446 0.0000 2.2597
Co 2.1446 2.1446 0.0000
Tc 0.0000 0.0000 2.2597
```

## Properties
calculated formation energy: 1.49 eV/atom

***

# Fe2CoTe

Crystalline Fe2CoTe at its relaxed geometry (GGA-PBEsol, the Alexandria database).

The structure in extended XYZ format:
```
4
Lattice="1.5376 0.8877 7.1518 -1.5376 0.8877 7.1518 0.0000 -1.7754 7.1518" Properties=species:S:1:pos:R:3 pbc="T T T"
Fe 0.0000 0.0000 5.1489
Fe 0.0000 0.0000 16.3065
Co 0.0000 0.0000 10.7277
Te 0.0000 0.0000 0.0000
```

## Properties
energy relative to the elements, uncorrected: 0.56 eV per atom

***

# Fe2CoTe

Crystalline Fe2CoTe at its relaxed geometry (GGA-PBEsol, the Alexandria database).

The structure in extended XYZ format:
```
4
Lattice="1.5080 0.8706 7.2780 -1.5080 0.8706 7.2780 0.0000 -1.7413 7.2780" Properties=species:S:1:pos:R:3 pbc="T T T"
Fe 0.0000 0.0000 0.0000
Fe 0.0000 0.0000 5.5700
Co 0.0000 0.0000 11.1886
Te 0.0000 0.0000 16.5122
```

## Properties
energy relative to the elements, uncorrected: 0.53 eV per atom

***

# FeCo2Te

Crystalline FeCo2Te at its relaxed geometry (GGA-PBEsol, the Alexandria database).

The structure in extended XYZ format:
```
4
Lattice="1.4992 0.8655 7.2832 -1.4992 0.8655 7.2832 0.0000 -1.7311 7.2832" Properties=species:S:1:pos:R:3 pbc="T T T"
Fe 0.0000 0.0000 0.0000
Co 0.0000 0.0000 5.6038
Co 0.0000 0.0000 16.2458
Te 0.0000 0.0000 10.9248
```

## Properties
energy relative to the elements, uncorrected: 0.50 eV per atom

***

# FeCoTe2

Crystalline FeCoTe2 at its relaxed geometry (GGA-PBEsol, the Alexandria database).

The structure in extended XYZ format:
```
4
Lattice="1.8885 1.0903 6.1988 -1.8885 1.0903 6.1988 0.0000 -2.1806 6.1988" Properties=species:S:1:pos:R:3 pbc="T T T"
Fe 0.0000 0.0000 0.0000
Co 0.0000 0.0000 13.1251
Te 0.0000 0.0000 4.8176
Te 0.0000 0.0000 8.1939
```

## Properties
energy relative to the elements, uncorrected: 0.00 eV per atom